Entry from the Alexandria database: a relaxed structure of Zn3Te5 (PBE).

The structure in POSCAR format:
```
Zn3Te5
1.0
-0.113 -3.682 -0.770
3.739 -0.027 -0.422
1.767 -3.373 15.861
Zn Te
3 5
direct
0.000 0.000 0.500
0.500 0.500 0.237
0.500 0.500 0.763
0.000 0.000 0.000
0.000 0.000 0.182
0.000 0.000 0.818
0.500 0.500 0.400
0.500 0.500 0.600
```

Results
ΔE to the lowest computed polymorph, eV/atom: 0.065
M_tot, μB/cell: 0.00
DOS at the Fermi energy, states/eV/atom: 0.53
E_form (uncorrected), eV/atom: 0.030
Symmetry: No. 123
E_tot, eV per atom: -2.41
Volume, Å³ per cell: 231